A relaxed RbIn3Te crystal. Source: the Alexandria database, functional PBE.

Cell lengths 6.1636, 6.1636, 6.1636 Å; angles 90.00, 90.00, 90.00 degrees
Closest atoms and distances in Å follow each position.
Fractional coordinates of all 5 atoms:
Rb (0.0000, 0.0000, 0.0000)  12 In 4.36
In (0.0000, 0.5000, 0.5000)  2 Te 3.08
In (0.5000, 0.0000, 0.5000)  2 Te 3.08
In (0.5000, 0.5000, 0.0000)  2 Te 3.08
Te (0.5000, 0.5000, 0.5000)  6 In 3.08

Space group: Pm-3m
Offset from the most stable computed form (meV/atom): 0
ΔE_f (raw) (eV/atom): 0.185
Crystal system: cubic
DOS(E_F) (states/eV per cell): 4.22

---

A relaxed Rb2InTe crystal. Source: the Alexandria database, functional PBE.

Cell lengths 8.7872, 8.7872, 8.7872 Å; angles 90.00, 90.00, 90.00 degrees
Closest atoms and distances in Å follow each position.
Fractional coordinates of all 16 atoms:
Rb (0.2500, 0.2500, 0.2500)  4 Te 3.80, 4 In 3.80
Rb (0.2500, 0.2500, 0.7500)  4 In 3.80, 4 Te 3.80
Rb (0.2500, 0.7500, 0.2500)  4 In 3.80, 4 Te 3.80
Rb (0.2500, 0.7500, 0.7500)  4 Te 3.80, 4 In 3.80
Rb (0.7500, 0.2500, 0.2500)  4 In 3.80, 4 Te 3.80
Rb (0.7500, 0.2500, 0.7500)  4 Te 3.80, 4 In 3.80
Rb (0.7500, 0.7500, 0.2500)  4 Te 3.80, 4 In 3.80
Rb (0.7500, 0.7500, 0.7500)  4 In 3.80, 4 Te 3.80
In (0.0000, 0.0000, 0.0000)  8 Rb 3.80
In (0.0000, 0.5000, 0.5000)  8 Rb 3.80
In (0.5000, 0.0000, 0.5000)  8 Rb 3.80
In (0.5000, 0.5000, 0.0000)  8 Rb 3.80
Te (0.0000, 0.0000, 0.5000)  8 Rb 3.80
Te (0.0000, 0.5000, 0.0000)  8 Rb 3.80
Te (0.5000, 0.0000, 0.0000)  8 Rb 3.80
Te (0.5000, 0.5000, 0.5000)  8 Rb 3.80

Space group: Fm-3m
Offset from the most stable computed form (meV/atom): 0
ΔE_f (raw) (eV/atom): -0.350
Crystal system: cubic
DOS(E_F) (states/eV per cell): 15.65

---

A relaxed RbIn4Te7 crystal. Source: the Alexandria database, functional PBE.

Cell lengths 17.4914, 7.3560, 7.2366 Å; angles 90.00, 90.00, 90.00 degrees
Closest atoms and distances in Å follow each position.
Fractional coordinates of all 24 atoms:
Rb (0.0000, 0.1643, 0.0000)  12 Te 4.07-4.31
Rb (0.5000, 0.8357, 0.5000)  12 Te 4.07-4.31
In (0.1196, 0.6661, 0.6527)  4 Te 2.82-2.87
In (0.2499, 0.1802, 0.6363)  4 Te 2.80-2.90
In (0.2501, 0.8198, 0.1363)  4 Te 2.80-2.90
In (0.3804, 0.3339, 0.1527)  4 Te 2.82-2.87
In (0.6196, 0.3339, 0.1527)  4 Te 2.82-2.87
In (0.7501, 0.1802, 0.6363)  4 Te 2.80-2.90
In (0.7499, 0.8198, 0.1363)  4 Te 2.80-2.90
In (0.8804, 0.6661, 0.6527)  4 Te 2.82-2.87
Te (0.0000, 0.8703, 0.4880)  2 In 2.84
Te (0.1066, 0.3049, 0.5173)  2 In 2.80-2.84
Te (0.1070, 0.6751, 0.0409)  2 In 2.81-2.82
Te (0.2350, 0.1964, 0.0351)  3 In 2.87-2.90
Te (0.2650, 0.8036, 0.5351)  3 In 2.87-2.90
Te (0.3930, 0.3249, 0.5409)  2 In 2.81-2.82
Te (0.3934, 0.6951, 0.0173)  2 In 2.80-2.84
Te (0.5000, 0.1297, 0.9880)  2 In 2.84
Te (0.6070, 0.3249, 0.5409)  2 In 2.81-2.82
Te (0.6066, 0.6951, 0.0173)  2 In 2.80-2.84
Te (0.7350, 0.8036, 0.5351)  3 In 2.87-2.90
Te (0.7650, 0.1964, 0.0351)  3 In 2.87-2.90
Te (0.8934, 0.3049, 0.5173)  2 In 2.80-2.84
Te (0.8930, 0.6751, 0.0409)  2 In 2.81-2.82

Space group: Pmn2_1
ΔE_f (raw) (eV/atom): -0.392
Crystal system: orthorhombic
DOS(E_F) (states/eV per cell): 18.75

---

A relaxed RbIn5Te4 crystal. Source: the Alexandria database, functional PBE.

Cell lengths 9.1475, 12.5385, 7.1899 Å; angles 90.00, 90.00, 90.00 degrees
Closest atoms and distances in Å follow each position.
Fractional coordinates of all 20 atoms:
Rb (0.2500, 0.2500, 0.1357)  4 Te 3.70-4.06, 4 In 3.90
Rb (0.7500, 0.7500, 0.8643)  4 Te 3.70-4.06, 4 In 3.90
In (0.0517, 0.5107, 0.2918)  3 Te 3.06-3.36, 1 In 3.15
In (0.0517, 0.9893, 0.2918)  3 Te 3.06-3.36, 1 In 3.15
In (0.2500, 0.7500, 0.0817)  4 Te 2.82-2.88
In (0.4483, 0.5107, 0.2918)  3 Te 3.06-3.36, 1 In 3.15
In (0.4483, 0.9893, 0.2918)  3 Te 3.06-3.36, 1 In 3.15
In (0.5517, 0.0107, 0.7082)  3 Te 3.06-3.36, 1 In 3.15
In (0.5517, 0.4893, 0.7082)  3 Te 3.06-3.36, 1 In 3.15
In (0.7500, 0.2500, 0.9183)  4 Te 2.82-2.88
In (0.9483, 0.0107, 0.7082)  3 Te 3.06-3.36, 1 In 3.15
In (0.9483, 0.4893, 0.7082)  3 Te 3.06-3.36, 1 In 3.15
Te (0.0149, 0.2500, 0.7164)  3 In 2.82-3.06
Te (0.2500, 0.5450, 0.9023)  3 In 2.88-3.17
Te (0.2500, 0.9550, 0.9023)  3 In 2.88-3.17
Te (0.4851, 0.2500, 0.7164)  3 In 2.82-3.06
Te (0.5149, 0.7500, 0.2836)  3 In 2.82-3.06
Te (0.7500, 0.0450, 0.0977)  3 In 2.88-3.17
Te (0.7500, 0.4550, 0.0977)  3 In 2.88-3.17
Te (0.9851, 0.7500, 0.2836)  3 In 2.82-3.06

Space group: Pmmn
ΔE_f (raw) (eV/atom): -0.303
Crystal system: orthorhombic
DOS(E_F) (states/eV per cell): 1.19

---

A relaxed Rb2InTe2 crystal. Source: the Alexandria database, functional PBE.

Cell lengths 10.7319, 9.7671, 8.9521 Å; angles 90.00, 106.38, 90.00 degrees
Closest atoms and distances in Å follow each position.
Fractional coordinates of all 20 atoms:
Rb (0.0719, 0.2393, 0.0263)  5 Te 3.67-3.75, 1 In 4.09
Rb (0.0719, 0.2607, 0.5263)  5 Te 3.67-3.75, 1 In 4.09
Rb (0.3156, 0.6274, 0.9141)  4 Te 3.63-4.00
Rb (0.3156, 0.8726, 0.4141)  4 Te 3.63-4.00
Rb (0.6844, 0.1274, 0.5859)  4 Te 3.63-4.00
Rb (0.6844, 0.3726, 0.0859)  4 Te 3.63-4.00
Rb (0.9281, 0.7393, 0.4737)  5 Te 3.67-3.75, 1 In 4.09
Rb (0.9281, 0.7607, 0.9737)  5 Te 3.67-3.75, 1 In 4.09
In (0.3854, 0.0748, 0.9174)  3 Te 2.83-3.06, 1 In 2.88
In (0.3854, 0.4252, 0.4174)  3 Te 2.83-3.06, 1 In 2.88
In (0.6146, 0.5748, 0.5826)  3 Te 2.83-3.06, 1 In 2.88
In (0.6146, 0.9252, 0.0826)  3 Te 2.83-3.06, 1 In 2.88
Te (0.1405, 0.5470, 0.2823)  1 In 2.83
Te (0.1405, 0.9530, 0.7823)  1 In 2.83
Te (0.4140, 0.1879, 0.2437)  2 In 2.86-3.06
Te (0.4140, 0.3121, 0.7437)  2 In 2.86-3.06
Te (0.5860, 0.6879, 0.2563)  2 In 2.86-3.06
Te (0.5860, 0.8121, 0.7563)  2 In 2.86-3.06
Te (0.8595, 0.0470, 0.2177)  1 In 2.83
Te (0.8595, 0.4530, 0.7177)  1 In 2.83

Space group: P2_1/c
Offset from the most stable computed form (meV/atom): 0
ΔE_f (raw) (eV/atom): -0.799
Crystal system: monoclinic

---

A relaxed RbIn2Te crystal. Source: the Alexandria database, functional PBE.

Cell lengths 9.3896, 9.3896, 6.9877 Å; angles 90.00, 90.00, 90.00 degrees
Closest atoms and distances in Å follow each position.
Fractional coordinates of all 16 atoms:
Rb (0.0000, 0.0000, 0.0000)  2 Te 3.49, 4 In 3.73
Rb (0.0000, 0.5000, 0.2500)  2 Te 3.49, 4 In 3.73
Rb (0.5000, 0.0000, 0.7500)  2 Te 3.49, 4 In 3.73
Rb (0.5000, 0.5000, 0.5000)  2 Te 3.49, 4 In 3.73
In (0.2060, 0.2500, 0.6250)  2 Te 3.16
In (0.2500, 0.7060, 0.8750)  2 Te 3.16
In (0.2500, 0.7940, 0.3750)  2 Te 3.16
In (0.2940, 0.2500, 0.1250)  2 Te 3.16
In (0.7060, 0.7500, 0.1250)  2 Te 3.16
In (0.7500, 0.2060, 0.3750)  2 Te 3.16
In (0.7500, 0.2940, 0.8750)  2 Te 3.16
In (0.7940, 0.7500, 0.6250)  2 Te 3.16
Te (0.0000, 0.0000, 0.5000)  4 In 3.16, 2 Rb 3.49
Te (0.0000, 0.5000, 0.7500)  4 In 3.16, 2 Rb 3.49
Te (0.5000, 0.0000, 0.2500)  4 In 3.16, 2 Rb 3.49
Te (0.5000, 0.5000, 0.0000)  4 In 3.16, 2 Rb 3.49

Space group: I-42d
ΔE_f (raw) (eV/atom): -0.272
Crystal system: tetragonal
DOS(E_F) (states/eV per cell): 6.89

---

A relaxed Rb2In3Te5 crystal. Source: the Alexandria database, functional PBE.

Cell lengths 12.7353, 12.7353, 12.7353 Å; angles 136.34, 58.94, 142.42 degrees
Closest atoms and distances in Å follow each position.
Fractional coordinates of all 20 atoms:
Rb (0.1948, 0.1763, 0.3711)  5 Te 3.69-3.80
Rb (0.3052, 0.6763, 0.9815)  5 Te 3.69-3.80
Rb (0.6948, 0.3237, 0.0185)  5 Te 3.69-3.80
Rb (0.8052, 0.8237, 0.6289)  5 Te 3.69-3.80
In (0.0948, 0.5579, 0.6527)  5 Te 2.93-3.09
In (0.2500, 0.2500, 0.0000)  4 Te 2.91
In (0.4052, 0.0579, 0.4630)  5 Te 2.93-3.09
In (0.5948, 0.9421, 0.5370)  5 Te 2.93-3.09
In (0.7500, 0.7500, 0.0000)  4 Te 2.91
In (0.9052, 0.4421, 0.3473)  5 Te 2.93-3.09
Te (0.0641, 0.7500, 0.3141)  2 In 2.93
Te (0.0784, 0.8817, 0.9602)  3 In 2.91-3.09
Te (0.2500, 0.7500, 0.5000)  4 In 2.99
Te (0.4216, 0.3817, 0.8033)  3 In 2.91-3.09
Te (0.4359, 0.7500, 0.6859)  2 In 2.93
Te (0.5641, 0.2500, 0.3141)  2 In 2.93
Te (0.5784, 0.6183, 0.1967)  3 In 2.91-3.09
Te (0.7500, 0.2500, 0.5000)  4 In 2.99
Te (0.9216, 0.1183, 0.0398)  3 In 2.91-3.09
Te (0.9359, 0.2500, 0.6859)  2 In 2.93

Space group: Ibam
ΔE_f (raw) (eV/atom): -0.526
Crystal system: orthorhombic
DOS(E_F) (states/eV per cell): 2.29

---

A relaxed Rb2InTe2 crystal. Source: the Alexandria database, functional PBE.

Cell lengths 10.5969, 10.5969, 3.5725 Å; angles 90.00, 90.00, 90.00 degrees
Closest atoms and distances in Å follow each position.
Fractional coordinates of all 10 atoms:
Rb (0.1238, 0.3762, 0.0000)  6 Te 3.51-3.67, 3 Rb 3.57-3.71
Rb (0.3762, 0.8762, 0.0000)  6 Te 3.51-3.67, 3 Rb 3.57-3.71
Rb (0.6238, 0.1238, 0.0000)  6 Te 3.51-3.67, 3 Rb 3.57-3.71
Rb (0.8762, 0.6238, 0.0000)  6 Te 3.51-3.67, 3 Rb 3.57-3.71
In (0.0000, 0.0000, 0.0000)  2 In 3.57
In (0.5000, 0.5000, 0.0000)  2 In 3.57
Te (0.1742, 0.6742, 0.5000)  6 Rb 3.51-3.67, 2 Te 3.57
Te (0.3258, 0.1742, 0.5000)  6 Rb 3.51-3.67, 2 Te 3.57
Te (0.6742, 0.8258, 0.5000)  6 Rb 3.51-3.67, 2 Te 3.57
Te (0.8258, 0.3258, 0.5000)  6 Rb 3.51-3.67, 2 Te 3.57

Space group: P4/mbm
Offset from the most stable computed form (meV/atom): 338
ΔE_f (raw) (eV/atom): -0.460
Crystal system: tetragonal
DOS(E_F) (states/eV per cell): 3.06

---

A relaxed RbInTe2 crystal. Source: the Alexandria database, functional PBE.

Cell lengths 9.0400, 9.0400, 7.5211 Å; angles 90.00, 90.00, 90.00 degrees
Closest atoms and distances in Å follow each position.
Fractional coordinates of all 16 atoms:
Rb (0.0000, 0.0000, 0.2500)  2 Rb 3.76, 8 Te 3.85
Rb (0.0000, 0.0000, 0.7500)  2 Rb 3.76, 8 Te 3.85
Rb (0.5000, 0.5000, 0.2500)  2 Rb 3.76, 8 Te 3.85
Rb (0.5000, 0.5000, 0.7500)  2 Rb 3.76, 8 Te 3.85
In (0.0000, 0.5000, 0.2500)  4 Te 2.87
In (0.0000, 0.5000, 0.7500)  4 Te 2.87
In (0.5000, 0.0000, 0.2500)  4 Te 2.87
In (0.5000, 0.0000, 0.7500)  4 Te 2.87
Te (0.1694, 0.3306, 0.0000)  2 In 2.87
Te (0.1694, 0.6694, 0.5000)  2 In 2.87
Te (0.3306, 0.1694, 0.5000)  2 In 2.87
Te (0.3306, 0.8306, 0.0000)  2 In 2.87
Te (0.6694, 0.1694, 0.0000)  2 In 2.87
Te (0.6694, 0.8306, 0.5000)  2 In 2.87
Te (0.8306, 0.3306, 0.5000)  2 In 2.87
Te (0.8306, 0.6694, 0.0000)  2 In 2.87

Space group: I4/mcm
ΔE_f (raw) (eV/atom): -0.708
Crystal system: tetragonal
DOS(E_F) (states/eV per cell): 0.00

---

| no. | volume (Å³/cell) | energy (eV per atom) |
| --- | --- | --- |
| 1 | 234.2 | -2.280 |
| 2 | 678.5 | -2.304 |
| 3 | 931.1 | -3.218 |
| 4 | 824.7 | -3.026 |
| 5 | 900.3 | -2.990 |
| 6 | 616.1 | -2.669 |
| 7 | 861.5 | -3.112 |
| 8 | 401.2 | -2.652 |
| 9 | 614.6 | -3.205 |